1.
PaI2O | Alexandria via LeMat-Bulk | PBE-GGA | optimized geometry; SG = R3m, No. 160; energy relative to the elements, uncorrected = -1.970 eV per atom
1.0
-2.049 1.233 -3.108
1.455 -0.453 -3.614
-4.154 -7.783 -2.822
Pa I O
1 2 1
Direct
0.469 0.232 0.829
0.891 0.654 0.564
0.714 0.477 0.094
0.136 0.899 0.829



2.
Pa2IO6 | Alexandria via LeMat-Bulk | PBE-GGA | optimized geometry; SG = P-31m, No. 162; energy relative to the elements, uncorrected = -2.430 eV per atom
1.0
5.182 0.000 0.000
0.000 5.296 -3.058
0.000 0.000 6.115
Pa I O
2 1 6
Direct
0.500 0.667 0.333
0.500 0.333 0.667
0.000 0.000 0.000
0.705 0.623 0.623
0.295 0.623 0.000
0.295 0.000 0.623
0.705 0.377 0.000
0.295 0.377 0.377
0.705 0.000 0.377



3.
Pa3I7O | Alexandria via LeMat-Bulk | PBE-GGA | optimized geometry; SG = P3m1, No. 156; energy relative to the elements, uncorrected = -1.149 eV per atom
1.0
8.092 0.000 0.000
0.000 8.179 0.000
0.000 -4.089 7.083
Pa I O
3 7 1
Direct
0.763 0.489 0.511
0.763 0.489 0.978
0.763 0.022 0.511
0.018 0.163 0.837
0.018 0.163 0.325
0.004 0.667 0.333
0.525 0.837 0.163
0.525 0.326 0.163
0.525 0.837 0.674
0.018 0.675 0.837
0.697 0.333 0.667



4.
PaIO4 | Alexandria via LeMat-Bulk | PBE-GGA | optimized geometry; SG = P-1, No. 2; energy relative to the elements, uncorrected = -2.067 eV per atom
1.0
-1.385 -5.228 -1.649
6.487 -0.005 -1.977
0.686 1.499 6.786
Pa I O
2 2 8
Direct
0.864 0.050 0.181
0.136 0.950 0.819
0.424 0.678 0.348
0.576 0.322 0.652
0.259 0.096 0.594
0.105 0.866 0.106
0.235 0.382 0.404
0.464 0.811 0.904
0.741 0.904 0.406
0.765 0.618 0.596
0.895 0.134 0.894
0.536 0.189 0.096



5.
PaI3O | Alexandria via LeMat-Bulk | PBE-GGA | optimized geometry; SG = P-1, No. 2; energy relative to the elements, uncorrected = -1.622 eV per atom
1.0
3.910 0.004 0.128
-1.918 7.770 -0.096
-0.525 -0.018 15.377
Pa I O
2 6 2
Direct
0.146 0.281 0.250
0.854 0.719 0.750
0.864 0.742 0.561
0.136 0.258 0.439
0.865 0.739 0.939
0.135 0.261 0.061
0.800 0.596 0.251
0.200 0.404 0.749
0.595 0.177 0.249
0.405 0.823 0.751



6.
PaIO5 | Alexandria via LeMat-Bulk | PBE-GGA | optimized geometry; SG = P-1, No. 2; energy relative to the elements, uncorrected = -1.924 eV per atom
1.0
-1.027 -0.373 -5.723
-1.191 -5.395 1.811
-5.926 5.382 2.231
Pa I O
2 2 10
Direct
0.999 0.001 0.999
0.999 0.501 0.499
0.529 0.282 0.750
0.469 0.720 0.249
0.925 0.176 0.250
0.073 0.826 0.749
0.718 0.616 0.381
0.229 0.835 0.116
0.320 0.377 0.083
0.294 0.737 0.416
0.678 0.625 0.916
0.705 0.266 0.583
0.769 0.168 0.882
0.280 0.387 0.618



7.
Pa2I2O3 | Alexandria via LeMat-Bulk | PBE-GGA | optimized geometry; SG = C2/m, No. 12; energy relative to the elements, uncorrected = -2.504 eV per atom
1.0
-0.510 2.726 -2.883
-9.555 -6.021 -1.226
-8.663 0.194 1.717
Pa I O
2 2 3
Direct
0.150 0.301 0.616
0.850 0.699 0.384
0.629 0.258 0.383
0.371 0.742 0.617
0.317 0.633 0.343
0.000 0.000 0.000
0.683 0.367 0.657



8.
Pa2I4O3 | Alexandria via LeMat-Bulk | PBE-GGA | optimized geometry; SG = C2/m, No. 12; energy relative to the elements, uncorrected = -1.943 eV per atom
1.0
1.793 8.459 0.304
-1.793 8.459 0.304
0.000 2.701 8.847
Pa I O
2 4 3
Direct
0.412 0.412 0.442
0.588 0.588 0.558
0.229 0.229 0.317
0.771 0.771 0.683
0.572 0.572 0.167
0.428 0.428 0.833
0.105 0.105 0.662
0.895 0.895 0.338
0.000 0.000 0.500



9.
Pa2I6O | Alexandria via LeMat-Bulk | PBE-GGA | optimized geometry; SG = C2/m, No. 12; energy relative to the elements, uncorrected = -1.093 eV per atom
1.0
-0.923 2.338 2.552
6.345 -1.879 6.531
4.189 9.412 -4.591
Pa I O
2 6 1
Direct
0.374 0.090 0.161
0.626 0.910 0.839
0.760 0.359 0.121
0.240 0.641 0.879
0.310 0.778 0.603
0.970 0.834 0.226
0.030 0.166 0.774
0.690 0.222 0.397
0.000 0.000 0.000



10.
PaPb2IO8 | Alexandria via LeMat-Bulk | PBE-GGA | optimized geometry; SG = Cmmm, No. 65; energy relative to the elements, uncorrected = -1.437 eV per atom
1.0
5.255 -0.089 -0.003
-0.070 5.262 -0.006
0.004 0.008 6.996
Pa Pb I O
1 2 1 8
Direct
0.000 0.000 0.500
0.500 0.500 0.756
0.500 0.500 0.244
0.000 0.000 0.000
0.175 0.825 0.245
0.720 0.720 0.000
0.825 0.175 0.245
0.825 0.175 0.755
0.280 0.280 0.000
0.175 0.825 0.755
0.703 0.704 0.500
0.297 0.296 0.500



11.
PaPdIO6 | Alexandria via LeMat-Bulk | PBE-GGA | optimized geometry; SG = P-31c, No. 163; energy relative to the elements, uncorrected = -1.302 eV per atom
1.0
-0.648 5.573 1.100
-1.500 -3.881 3.922
8.437 0.288 3.511
Pa Pd I O
2 2 2 12
Direct
0.333 0.667 0.250
0.667 0.333 0.750
0.000 0.000 0.000
0.000 0.000 0.500
0.667 0.333 0.250
0.333 0.667 0.750
0.658 0.649 0.131
0.991 0.342 0.131
0.342 0.991 0.631
0.009 0.658 0.869
0.351 0.342 0.369
0.991 0.649 0.369
0.649 0.991 0.869
0.658 0.009 0.369
0.009 0.351 0.631
0.351 0.009 0.131
0.649 0.658 0.631
0.342 0.351 0.869



12.
Pm2PaIO8 | Alexandria via LeMat-Bulk | PBE-GGA | optimized geometry; SG = P2/m, No. 10; energy relative to the elements, uncorrected = -2.539 eV per atom
1.0
3.826 -0.053 -0.002
0.069 5.526 -0.006
0.004 0.009 7.649
Pm Pa I O
2 1 1 8
Direct
0.500 0.500 0.753
0.500 0.500 0.247
0.000 0.000 0.500
0.000 0.000 0.000
0.001 0.768 0.246
0.501 0.771 0.000
0.999 0.232 0.246
0.999 0.232 0.754
0.499 0.229 0.000
0.001 0.768 0.754
0.501 0.766 0.500
0.499 0.234 0.500



13.
Pr2PaIO8 | Alexandria via LeMat-Bulk | PBE-GGA | optimized geometry; SG = P2/m, No. 10; energy relative to the elements, uncorrected = -2.487 eV per atom
1.0
3.848 -0.059 -0.002
0.069 5.606 -0.006
0.004 0.009 7.701
Pr Pa I O
2 1 1 8
Direct
0.500 0.500 0.753
0.500 0.500 0.247
0.000 0.000 0.500
0.000 0.000 0.000
0.001 0.772 0.247
0.502 0.775 0.000
0.999 0.228 0.247
0.999 0.228 0.753
0.498 0.225 0.000
0.001 0.772 0.753
0.501 0.770 0.500
0.499 0.230 0.500



14.
RbPa2IO8 | Alexandria via LeMat-Bulk | PBE-GGA | optimized geometry; SG = P2/m, No. 10; energy relative to the elements, uncorrected = -2.243 eV per atom
1.0
5.237 0.088 -0.004
0.142 5.228 -0.006
0.004 0.007 7.234
Rb Pa I O
1 2 1 8
Direct
0.000 0.000 0.500
0.500 0.500 0.750
0.500 0.500 0.250
0.000 0.000 0.000
0.208 0.789 0.198
0.697 0.700 0.000
0.792 0.211 0.198
0.792 0.211 0.802
0.303 0.300 0.000
0.208 0.789 0.802
0.657 0.662 0.500
0.343 0.338 0.500



15.
PaReIO6 | Alexandria via LeMat-Bulk | PBE-GGA | optimized geometry; SG = Imma, No. 74; energy relative to the elements, uncorrected = -1.957 eV per atom
1.0
-1.889 0.523 7.747
-1.412 -7.214 0.143
7.110 2.305 -2.544
Pa Re I O
2 2 2 12
Direct
0.500 0.000 0.500
0.000 0.000 0.500
0.500 0.500 0.000
0.500 0.000 0.000
0.813 0.563 0.626
0.187 0.437 0.374
0.445 0.695 0.891
0.807 0.057 0.615
0.774 0.047 0.218
0.444 0.671 0.218
0.444 0.047 0.218
0.774 0.671 0.218
0.555 0.305 0.109
0.193 0.943 0.385
0.226 0.953 0.782
0.556 0.329 0.782
0.556 0.953 0.782
0.226 0.329 0.782



16.
PaSIO | Alexandria via LeMat-Bulk | PBE-GGA | optimized geometry; SG = R3m, No. 160; energy relative to the elements, uncorrected = -2.078 eV per atom
1.0
3.884 -0.013 -0.004
-1.931 3.370 0.004
-1.930 -1.124 7.888
Pa S I O
1 1 1 1
Direct
0.484 0.606 0.090
0.014 0.871 0.885
0.360 0.045 0.404
0.835 0.282 0.117



17.
Pa2S2IO2 | Alexandria via LeMat-Bulk | PBE-GGA | optimized geometry; SG = R-3m, No. 166; energy relative to the elements, uncorrected = -2.242 eV per atom
1.0
3.854 0.000 0.000
1.927 3.338 0.000
1.927 1.113 12.507
Pa S I O
2 2 1 2
Direct
0.591 0.591 0.227
0.409 0.409 0.773
0.119 0.119 0.644
0.881 0.881 0.356
0.000 0.000 0.000
0.732 0.732 0.805
0.268 0.268 0.195



18.
PaS2IO8 | Alexandria via LeMat-Bulk | PBE-GGA | optimized geometry; SG = P-3m1, No. 164; energy relative to the elements, uncorrected = -1.696 eV per atom
1.0
6.079 0.000 0.000
-3.040 5.265 0.000
0.000 0.000 6.419
Pa S I O
1 2 1 8
Direct
0.000 0.000 0.000
0.333 0.667 0.785
0.667 0.333 0.215
0.000 0.000 0.500
0.202 0.403 0.877
0.202 0.798 0.877
0.597 0.798 0.877
0.403 0.202 0.123
0.667 0.333 0.437
0.333 0.667 0.563
0.798 0.597 0.123
0.798 0.202 0.123



19.
Sc2PaIO8 | Alexandria via LeMat-Bulk | PBE-GGA | optimized geometry; SG = Cmmm, No. 65; energy relative to the elements, uncorrected = -2.553 eV per atom
1.0
4.910 -0.067 -0.003
-0.042 4.912 -0.005
0.004 0.008 6.757
Sc Pa I O
2 1 1 8
Direct
0.500 0.500 0.756
0.500 0.500 0.244
0.000 0.000 0.500
0.000 0.000 0.000
0.195 0.805 0.241
0.696 0.697 0.000
0.805 0.195 0.241
0.805 0.195 0.759
0.304 0.303 0.000
0.195 0.805 0.759
0.691 0.691 0.500
0.309 0.309 0.500



20.
Pa2Se2IO2 | Alexandria via LeMat-Bulk | PBE-GGA | optimized geometry; SG = R-3m, No. 166; energy relative to the elements, uncorrected = -2.159 eV per atom
1.0
-2.148 -1.675 2.754
1.697 -1.448 3.166
-1.441 10.199 7.806
Pa Se I O
2 2 1 2
Direct
0.593 0.593 0.222
0.407 0.407 0.778
0.121 0.121 0.636
0.879 0.879 0.364
0.000 0.000 0.000
0.731 0.731 0.807
0.269 0.269 0.193